Record 1
The following is a DFT calculation (PBE) of Y4CoGeC2 after structural relaxation.

Results
Its symmetry is No. 187.

Lattice parameters (Å, degrees): 3.5861 3.5861 14.3952 90.00 90.00 120.00
Element x y z (fractional)
Y: 0.0000 0.0000 0.1425
Y: 0.0000 0.0000 0.8575
Y: 0.6667 0.3333 0.3325
Y: 0.6667 0.3333 0.6675
Co: 0.6667 0.3333 0.0000
Ge: 0.0000 0.0000 0.5000
C: 0.3333 0.6667 0.2390
C: 0.3333 0.6667 0.7610

---

Record 2
The following is a DFT calculation (PBE) of HoErZr after structural relaxation.

Results
Its symmetry is No. 216. The value obtained for the energy above the most stable polymorph in this dataset is 0.000 eV/atom. For the formation energy, the calculation gives 940 meV per atom.

Lattice parameters (Å, degrees): 5.1536 5.1536 5.1536 60.00 60.00 60.00
Element x y z (fractional)
Ho: 0.0000 0.0000 0.0000
Er: 0.2500 0.2500 0.2500
Zr: 0.5000 0.5000 0.5000

---

Record 3
The following is a DFT calculation (PBE) of TbY2Sn3Ir2Pd after structural relaxation.

Results
Its symmetry is No. 38.

Lattice parameters (Å, degrees): 3.8967 7.5884 7.5884 119.96 90.00 90.00
Element x y z (fractional)
Tb: 0.0000 0.0000 0.0000
Y: 0.0000 0.4091 0.8173
Y: 0.0000 0.8173 0.4091
Sn: 0.5000 0.1448 0.4097
Sn: 0.5000 0.4097 0.1448
Sn: 0.5000 0.6726 0.6726
Ir: 0.5000 0.0758 0.7437
Ir: 0.5000 0.7437 0.0758
Pd: 0.0000 0.4086 0.4086

---

Record 4
The following is a DFT calculation (PBE) of Pm2Ga5Co3 after structural relaxation.

Results
Its symmetry is No. 72.

Lattice parameters (Å, degrees): 8.3976 8.3976 8.3976 108.64 84.36 141.13
Element x y z (fractional)
Pm: 0.1409 0.2243 0.3652
Pm: 0.3591 0.7243 0.0834
Pm: 0.6409 0.2757 0.9166
Pm: 0.8591 0.7757 0.6348
Ga: 0.0429 0.7500 0.2929
Ga: 0.0865 0.6738 0.7603
Ga: 0.2500 0.2500 0.0000
Ga: 0.4135 0.1738 0.5874
Ga: 0.4571 0.7500 0.7071
Ga: 0.5429 0.2500 0.2929
Ga: 0.5865 0.8262 0.4126
Ga: 0.7500 0.7500 0.0000
Ga: 0.9135 0.3262 0.2397
Ga: 0.9571 0.2500 0.7071
Co: 0.1474 0.9106 0.0579
Co: 0.2500 0.7500 0.5000
Co: 0.3526 0.4106 0.7632
Co: 0.6474 0.5894 0.2368
Co: 0.7500 0.2500 0.5000
Co: 0.8526 0.0894 0.9421

---

Record 5
The following is a DFT calculation (PBE) of HfFeNiSb after structural relaxation.

Results
Its symmetry is No. 216. The value obtained for the energy above the most stable polymorph in this dataset is 0.000 eV/atom.

Lattice parameters (Å, degrees): 4.4412 4.4412 4.4412 60.00 60.00 60.00
Element x y z (fractional)
Hf: 0.0000 0.0000 0.0000
Fe: 0.7500 0.7500 0.7500
Ni: 0.2500 0.2500 0.2500
Sb: 0.5000 0.5000 0.5000

---

Record 6
The following is a DFT calculation (PBE) of BaSiAg2Te2Se2 after structural relaxation.

Results
Its symmetry is No. 5. The value obtained for the energy above the most stable polymorph in this dataset is 0.000 eV/atom.

Lattice parameters (Å, degrees): 6.6703 6.6703 7.3090 121.12 121.12 79.87
Element x y z (fractional)
Ba: 0.0000 0.0000 0.0000
Si: 0.5170 0.4830 0.0000
Ag: 0.3005 0.6995 0.5000
Ag: 0.6670 0.3330 0.5000
Te: 0.1472 0.4555 0.6160
Te: 0.5445 0.8528 0.3840
Se: 0.4854 0.1538 0.0128
Se: 0.8462 0.5146 0.9872

---

Record 7
The following is a DFT calculation (PBE) of HoIrBr6 after structural relaxation.

Results
Its symmetry is No. 5.

Lattice parameters (Å, degrees): 6.6354 6.6354 6.8840 99.51 99.51 119.83
Element x y z (fractional)
Ho: 0.0000 0.0000 0.0000
Ir: 0.3320 0.6680 0.0000
Br: 0.1057 0.4442 0.2325
Br: 0.2549 0.2852 0.7645
Br: 0.4149 0.0518 0.2380
Br: 0.5558 0.8943 0.7675
Br: 0.7148 0.7451 0.2355
Br: 0.9482 0.5851 0.7620

---

Record 8
The following is a DFT calculation (PBE) of DyCuSnTe3 after structural relaxation.

Results
Its symmetry is No. 11. The value obtained for the energy above the most stable polymorph in this dataset is 0.021 eV/atom.

Lattice parameters (Å, degrees): 8.3107 4.2532 10.5022 90.00 105.55 90.00
Element x y z (fractional)
Dy: 0.1972 0.2500 0.1688
Dy: 0.8028 0.7500 0.8312
Cu: 0.4243 0.7500 0.4157
Cu: 0.5757 0.2500 0.5843
Sn: 0.2480 0.7500 0.6994
Sn: 0.7520 0.2500 0.3006
Te: 0.0790 0.2500 0.8601
Te: 0.2422 0.2500 0.4645
Te: 0.4586 0.7500 0.1704
Te: 0.5414 0.2500 0.8296
Te: 0.7578 0.7500 0.5355
Te: 0.9210 0.7500 0.1399

---

Record 9
The following is a DFT calculation (PBE) of SmHgB after structural relaxation.

Results
Its symmetry is No. 216. The value obtained for the energy above the most stable polymorph in this dataset is 0.000 eV/atom.

Lattice parameters (Å, degrees): 4.4086 4.4086 4.4086 60.00 60.00 60.00
Element x y z (fractional)
Sm: 0.0000 0.0000 0.0000
Hg: 0.5000 0.5000 0.5000
B: 0.7500 0.7500 0.7500

---

Record 10
The following is a DFT calculation (PBE) of Tb2Ge2O5 after structural relaxation.

Results
Its symmetry is No. 123. The value obtained for the energy above the most stable polymorph in this dataset is 0.000 eV/atom.

Lattice parameters (Å, degrees): 4.0652 4.0652 6.6230 90.00 90.00 90.00
Element x y z (fractional)
Tb: 0.0000 0.0000 0.0000
Tb: 0.0000 0.0000 0.5000
Ge: 0.5000 0.5000 0.2149
Ge: 0.5000 0.5000 0.7851
O: 0.0000 0.5000 0.2345
O: 0.0000 0.5000 0.7655
O: 0.5000 0.0000 0.2345
O: 0.5000 0.0000 0.7655
O: 0.5000 0.5000 0.5000

---

Record 11
The following is a DFT calculation (PBE) of PrGa40Mo8 after structural relaxation.

Results
Its symmetry is No. 148.

Lattice parameters (Å, degrees): 9.6102 9.6102 9.6102 94.12 94.12 94.12
Element x y z (fractional)
Pr: 0.0000 0.0000 0.0000
Ga: 0.0000 0.5000 0.5000
Ga: 0.0349 0.2128 0.4043
Ga: 0.0388 0.7105 0.8583
Ga: 0.0728 0.4395 0.7765
Ga: 0.1211 0.1699 0.6926
Ga: 0.1417 0.9612 0.2895
Ga: 0.1699 0.6926 0.1211
Ga: 0.2128 0.4043 0.0349
Ga: 0.2235 0.9272 0.5605
Ga: 0.2249 0.4692 0.3275
Ga: 0.2689 0.6369 0.6116
Ga: 0.2895 0.1417 0.9612
Ga: 0.3074 0.8789 0.8301
Ga: 0.3275 0.2249 0.4692
Ga: 0.3631 0.3884 0.7311
Ga: 0.3884 0.7311 0.3631
Ga: 0.4043 0.0349 0.2128
Ga: 0.4395 0.7765 0.0728
Ga: 0.4692 0.3275 0.2249
Ga: 0.5000 0.0000 0.5000
Ga: 0.5000 0.5000 0.0000
Ga: 0.5000 0.5000 0.5000
Ga: 0.5308 0.6725 0.7751
Ga: 0.5605 0.2235 0.9272
Ga: 0.5957 0.9651 0.7872
Ga: 0.6116 0.2689 0.6369
Ga: 0.6369 0.6116 0.2689
Ga: 0.6725 0.7751 0.5308
Ga: 0.6926 0.1211 0.1699
Ga: 0.7105 0.8583 0.0388
Ga: 0.7311 0.3631 0.3884
Ga: 0.7751 0.5308 0.6725
Ga: 0.7765 0.0728 0.4395
Ga: 0.7872 0.5957 0.9651
Ga: 0.8301 0.3074 0.8789
Ga: 0.8583 0.0388 0.7105
Ga: 0.8789 0.8301 0.3074
Ga: 0.9272 0.5605 0.2235
Ga: 0.9612 0.2895 0.1417
Ga: 0.9651 0.7872 0.5957
Mo: 0.1130 0.7111 0.3901
Mo: 0.2126 0.2126 0.2126
Mo: 0.2889 0.6099 0.8870
Mo: 0.3901 0.1130 0.7111
Mo: 0.6099 0.8870 0.2889
Mo: 0.7111 0.3901 0.1130
Mo: 0.7874 0.7874 0.7874
Mo: 0.8870 0.2889 0.6099

---

Record 12
The following is a DFT calculation (PBE) of Pr3Sm3Te2Pd after structural relaxation.

Results
Its symmetry is No. 189. The value obtained for the energy above the most stable polymorph in this dataset is 0.049 eV/atom.

Lattice parameters (Å, degrees): 8.7596 8.7596 4.0009 90.00 90.00 120.00
Element x y z (fractional)
Pr: 0.0000 0.7506 0.0000
Pr: 0.2494 0.2494 0.0000
Pr: 0.7506 0.0000 0.0000
Sm: 0.0000 0.4130 0.5000
Sm: 0.4130 0.0000 0.5000
Sm: 0.5870 0.5870 0.5000
Te: 0.3333 0.6667 0.0000
Te: 0.6667 0.3333 0.0000
Pd: 0.0000 0.0000 0.5000

---

Record 13
The following is a DFT calculation (PBE) of TbDySb2 after structural relaxation.

Results
Its symmetry is No. 129. The value obtained for the energy above the most stable polymorph in this dataset is 0.356 eV/atom.

Lattice parameters (Å, degrees): 4.4634 4.4634 11.1703 90.00 90.00 90.00
Element x y z (fractional)
Tb: 0.2500 0.2500 0.2127
Tb: 0.7500 0.7500 0.7873
Dy: 0.2500 0.7500 0.5000
Dy: 0.7500 0.2500 0.5000
Sb: 0.2500 0.2500 0.6985
Sb: 0.2500 0.7500 0.0000
Sb: 0.7500 0.2500 0.0000
Sb: 0.7500 0.7500 0.3015

---

Record 14
The following is a DFT calculation (PBE) of Nb4Zn3W2C3 after structural relaxation.

Results
Its symmetry is No. 15.

Lattice parameters (Å, degrees): 5.4166 5.4166 13.8593 101.30 101.30 60.05
Element x y z (fractional)
Nb: 0.0328 0.1945 0.0915
Nb: 0.1332 0.3036 0.4085
Nb: 0.1945 0.0328 0.5915
Nb: 0.3036 0.1332 0.9085
Nb: 0.6964 0.8668 0.0915
Nb: 0.8055 0.9672 0.4085
Nb: 0.8668 0.6964 0.5915
Nb: 0.9672 0.8055 0.9085
Zn: 0.1221 0.8779 0.2500
Zn: 0.2866 0.4179 0.7507
Zn: 0.4179 0.2866 0.2507
Zn: 0.5821 0.7134 0.7493
Zn: 0.7134 0.5821 0.2493
Zn: 0.8779 0.1221 0.7500
W: 0.3566 0.5266 0.0803
W: 0.4734 0.6434 0.4197
W: 0.5266 0.3566 0.5803
W: 0.6434 0.4734 0.9197
C: 0.0000 0.5000 0.0000
C: 0.1667 0.6667 0.5000
C: 0.3333 0.8333 0.0000
C: 0.5000 0.0000 0.5000
C: 0.6667 0.1667 0.0000
C: 0.8333 0.3333 0.5000

---

Record 15
The following is a DFT calculation (PBE) of BaFeAuS3 after structural relaxation.

Results
Its symmetry is No. 63. The value obtained for the energy above the most stable polymorph in this dataset is 0.076 eV/atom.

Lattice parameters (Å, degrees): 7.1668 7.1668 9.9094 90.00 90.00 148.57
Element x y z (fractional)
Ba: 0.2460 0.7540 0.7500
Ba: 0.7540 0.2460 0.2500
Fe: 0.0000 0.0000 0.0000
Fe: 0.0000 0.0000 0.5000
Au: 0.4602 0.5398 0.2500
Au: 0.5398 0.4602 0.7500
S: 0.0755 0.9245 0.2500
S: 0.3771 0.6229 0.0348
S: 0.3771 0.6229 0.4652
S: 0.6229 0.3771 0.5348
S: 0.6229 0.3771 0.9652
S: 0.9245 0.0755 0.7500

---

Record 16
The following is a DFT calculation (PBE) of Ho2TlIn3 after structural relaxation.

Results
Its symmetry is No. 65. The value obtained for the energy above the most stable polymorph in this dataset is 0.000 eV/atom.

Lattice parameters (Å, degrees): 7.5187 7.5187 4.6756 90.00 90.00 144.25
Element x y z (fractional)
Ho: 0.1555 0.8445 0.0000
Ho: 0.8445 0.1555 0.0000
Tl: 0.5000 0.5000 0.0000
In: 0.0000 0.0000 0.5000
In: 0.3228 0.6772 0.5000
In: 0.6772 0.3228 0.5000

---

Record 17
The following is a DFT calculation (PBE) of HgSbTeO after structural relaxation.

Results
Its symmetry is No. 26. The value obtained for the energy above the most stable polymorph in this dataset is 0.039 eV/atom.

Lattice parameters (Å, degrees): 4.4980 9.3126 5.7844 90.00 90.00 90.00
Element x y z (fractional)
Hg: 0.0000 0.1307 0.0000
Hg: 0.0000 0.8693 0.5000
Sb: 0.5000 0.3619 0.2278
Sb: 0.5000 0.6381 0.7278
Te: 0.0000 0.1984 0.5133
Te: 0.0000 0.8016 0.0133
O: 0.5000 0.4610 0.9145
O: 0.5000 0.5390 0.4145

---

Record 18
The following is a DFT calculation (PBE) of Hf2TcAu after structural relaxation.

Results
Its symmetry is No. 216. For the formation energy, the calculation gives -35 meV per atom.

Lattice parameters (Å, degrees): 4.6682 4.6682 4.6682 60.00 60.00 60.00
Element x y z (fractional)
Hf: 0.0000 0.0000 0.0000
Hf: 0.2500 0.2500 0.2500
Tc: 0.7500 0.7500 0.7500
Au: 0.5000 0.5000 0.5000

---

Record 19
The following is a DFT calculation (PBE) of Cs3Co after structural relaxation.

Results
Its symmetry is No. 194.

Lattice parameters (Å, degrees): 8.8895 8.8895 6.1464 90.00 90.00 120.00
Element x y z (fractional)
Cs: 0.1842 0.3684 0.2500
Cs: 0.1842 0.8158 0.2500
Cs: 0.3684 0.1842 0.7500
Cs: 0.6316 0.8158 0.2500
Cs: 0.8158 0.1842 0.7500
Cs: 0.8158 0.6316 0.7500
Co: 0.3333 0.6667 0.7500
Co: 0.6667 0.3333 0.2500

---

Record 20
The following is a DFT calculation (PBE) of AcErBe after structural relaxation.

Results
Its symmetry is No. 216. The value obtained for the energy above the most stable polymorph in this dataset is 0.000 eV/atom.

Lattice parameters (Å, degrees): 5.0098 5.0098 5.0098 60.00 60.00 60.00
Element x y z (fractional)
Ac: 0.0000 0.0000 0.0000
Er: 0.5000 0.5000 0.5000
Be: 0.2500 0.2500 0.2500

---

What VASP energy values result from the calculations? In sequence: -57.716 -14.866 -60.232 -101.552 -28.976 -31.456 -31.729 -51.200 -11.725 -60.649 -220.149 -47.090 -41.229 -201.181 -58.527 -22.042 -27.865 -33.676 -12.392 -11.315 eV for the cell shown.